Li3AlFe after structural relaxation, computed with PBE.

Results
DOS(E_F), states/eV per cell: 10.9
Calculated formation energy, eV per atom: 1.159

Cell: 4.686 4.686 4.686 Å, 90.00 90.00 90.00°
Space group Pm-3m (No. 221)
Asymmetric unit:
Li1 0.000 0.000 0.500 x3
Al1 0.000 0.000 0.000 x1
Fe1 0.500 0.500 0.500 x1

---

Li2AlFe after structural relaxation, computed with PBE.

Results
DOS(E_F), states/eV per cell: 6.6
Calculated formation energy, eV per atom: 0.135

Cell: 5.014 8.849 2.572 Å, 90.00 90.00 90.00°
Space group Cmmm (No. 65)
Asymmetric unit:
Li1 0.250 0.250 0.000 x4
Al1 0.000 0.000 0.500 x2
Fe1 0.000 0.500 0.500 x2

---

Li3AlFe after structural relaxation, computed with PBE.

Results
DOS(E_F), states/eV per cell: 5.6
Calculated formation energy, eV per atom: 0.786

Cell: 4.631 4.631 4.631 Å, 90.00 90.00 90.00°
Space group Pm-3m (No. 221)
Asymmetric unit:
Li1 0.000 0.000 0.500 x3
Al1 0.500 0.500 0.500 x1
Fe1 0.000 0.000 0.000 x1

---

LiAl2Fe after structural relaxation, computed with PBE.

Results
DOS(E_F), states/eV per cell: 1.8
Calculated formation energy, eV per atom: -0.270

Cell: 2.919 2.929 6.244 Å, 90.00 90.00 90.00°
Space group Pmmm (No. 47)
Asymmetric unit:
Li1 0.000 0.000 0.000 x1
Al1 0.500 0.500 0.284 x2
Fe1 0.000 0.000 0.500 x1

---

LiAlFe2 after structural relaxation, computed with PBE.

Results
DOS(E_F), states/eV per cell: 2.9
Calculated formation energy, eV per atom: -0.026

Cell: 2.954 4.019 4.054 Å, 90.00 90.00 90.00°
Space group Pmmm (No. 47)
Asymmetric unit:
Li1 0.000 0.000 0.000 x1
Al1 0.500 0.500 0.000 x1
Fe1 0.000 0.500 0.500 x1
Fe2 0.500 0.000 0.500 x1

---

LiAl2Fe after structural relaxation, computed with PBE.

Results
DOS(E_F), states/eV per cell: 4.2
Calculated formation energy, eV per atom: -0.142

Cell: 9.383 2.808 4.304 Å, 90.00 110.04 90.00°
Space group Cm (No. 8)
Asymmetric unit:
Li1 0.000 0.000 0.000 x2
Al1 0.022 0.500 0.530 x2
Al2 0.259 0.500 0.191 x2
Fe1 0.256 0.000 0.686 x2

---

LiAl2Fe after structural relaxation, computed with PBE.

Results
DOS(E_F), states/eV per cell: 2.5
Calculated formation energy, eV per atom: -0.033

Cell: 2.750 3.826 5.290 Å, 90.00 90.00 90.00°
Space group Pmm2 (No. 25)
Asymmetric unit:
Li1 0.000 0.000 0.000 x1
Al1 0.000 0.000 0.532 x1
Al2 0.500 0.500 0.238 x1
Fe1 0.500 0.500 0.738 x1

---

Li2AlFe after structural relaxation, computed with PBE.

Results
DOS(E_F), states/eV per cell: 2.4
Calculated formation energy, eV per atom: 0.045

Cell: 3.561 3.561 4.378 Å, 90.00 90.00 90.00°
Space group P4/mmm (No. 123)
Asymmetric unit:
Li1 0.000 0.500 0.000 x2
Al1 0.000 0.000 0.500 x1
Fe1 0.500 0.500 0.500 x1

---

Li2AlFe after structural relaxation, computed with PBE.

Results
DOS(E_F), states/eV per cell: 4.2
Calculated formation energy, eV per atom: 0.073

Cell: 3.526 3.526 9.016 Å, 90.00 90.00 90.00°
Space group I4/mmm (No. 139)
Asymmetric unit:
Li1 0.000 0.500 0.250 x4
Al1 0.000 0.000 0.000 x2
Fe1 0.000 0.000 0.500 x2

---

Li2AlFe after structural relaxation, computed with PBE.

Results
DOS(E_F), states/eV per cell: 2.7
Calculated formation energy, eV per atom: 0.127

Cell: 2.615 4.324 5.065 Å, 90.00 90.00 90.00°
Space group Pmmm (No. 47)
Asymmetric unit:
Li1 0.000 0.000 0.244 x2
Al1 0.500 0.500 0.500 x1
Fe1 0.500 0.500 0.000 x1

---

Li2AlFe after structural relaxation, computed with PBE.

Results
DOS(E_F), states/eV per cell: 8.6
Calculated formation energy, eV per atom: 0.171

Cell: 2.6706 2.6706 27.7354 Å, 90.00 90.00 120.00°
Space group R-3m (No. 166, hexagonal axes)
Asymmetric unit:
Li1 0.0000 0.0000 0.2474 x6
Al1 0.0000 0.0000 0.0000 x3
Fe1 0.0000 0.0000 0.5000 x3

---

Li2AlFe after structural relaxation, computed with PBE.

Results
DOS(E_F), states/eV per cell: 6.6
Calculated formation energy, eV per atom: 0.066

Cell: 8.843 2.634 4.939 Å, 90.00 98.69 90.00°
Space group Cm (No. 8)
Asymmetric unit:
Li1 0.000 0.000 0.000 x2
Li2 0.242 0.000 0.789 x2
Al1 0.493 0.000 0.474 x2
Fe1 0.254 0.500 0.309 x2